DFT (PBE-GGA) results for Na8Tl2Pb after structural relaxation.

Energy of formation from the pure elements (meV per atom): -84.2
Electronic total energy (eV per formula unit): -19.92

a b c (Å): 8.224 8.224 5.318
angles (deg): 90.00 90.00 104.93
Fractional positions:
Na 0.036 0.296 0.500
Na 0.248 0.752 0.000
Na 0.296 0.036 0.500
Na 0.330 0.330 0.000
Na 0.670 0.670 0.000
Na 0.704 0.964 0.500
Na 0.752 0.248 0.000
Na 0.964 0.704 0.500
Tl 0.383 0.617 0.500
Tl 0.617 0.383 0.500
Pb 0.000 0.000 0.000